A plane-wave DFT calculation with PBE-GGA was carried out for a relaxed IrPtSeN2 crystal.

Properties
Relative energy among the computed polymorphs   257 kJ/mol of formula units

Geometry as CIF:
```
data_IrPtSeN2
_symmetry_space_group_name_H-M 'P 4/m m m'
_symmetry_Int_Tables_number 123
_symmetry_space_group_name_Hall '-P 4 2'
_cell_length_a 3.6626
_cell_length_b 3.6626
_cell_length_c 8.6146
_cell_angle_alpha 90.00
_cell_angle_beta 90.00
_cell_angle_gamma 90.00
loop_
_atom_site_label
_atom_site_type_symbol
_atom_site_fract_x
_atom_site_fract_y
_atom_site_fract_z
Ir1 Ir 0.0000 0.0000 0.0000
Pt1 Pt 0.5000 0.5000 0.5000
Se1 Se 0.5000 0.5000 0.0000
N1 N 0.0000 0.5000 0.5000
```

***

A plane-wave DFT calculation with PBE-GGA was carried out for a relaxed IrPtSe2N crystal.

Properties
Relative energy among the computed polymorphs   218 kJ/mol of formula units

Geometry as CIF:
```
data_IrPtSe2N
_symmetry_space_group_name_H-M 'P 4/m m m'
_symmetry_Int_Tables_number 123
_symmetry_space_group_name_Hall '-P 4 2'
_cell_length_a 5.1061
_cell_length_b 5.1061
_cell_length_c 3.5928
_cell_angle_alpha 90.00
_cell_angle_beta 90.00
_cell_angle_gamma 90.00
loop_
_atom_site_label
_atom_site_type_symbol
_atom_site_fract_x
_atom_site_fract_y
_atom_site_fract_z
Ir1 Ir 0.0000 0.0000 0.0000
Pt1 Pt 0.5000 0.5000 0.5000
Se1 Se 0.0000 0.5000 0.5000
N1 N 0.5000 0.5000 0.0000
```

***

A plane-wave DFT calculation with PBE-GGA was carried out for a relaxed IrPtSe2N crystal.

Properties
Relative energy among the computed polymorphs   0 kJ/mol of formula units

Geometry as CIF:
```
data_IrPtSe2N
_symmetry_space_group_name_H-M 'P 4/m m m'
_symmetry_Int_Tables_number 123
_symmetry_space_group_name_Hall '-P 4 2'
_cell_length_a 5.0742
_cell_length_b 5.0742
_cell_length_c 3.6050
_cell_angle_alpha 90.00
_cell_angle_beta 90.00
_cell_angle_gamma 90.00
loop_
_atom_site_label
_atom_site_type_symbol
_atom_site_fract_x
_atom_site_fract_y
_atom_site_fract_z
Ir1 Ir 0.0000 0.0000 0.0000
Pt1 Pt 0.5000 0.5000 0.5000
Se1 Se 0.0000 0.5000 0.0000
N1 N 0.0000 0.0000 0.5000
```

***

A plane-wave DFT calculation with PBE-GGA was carried out for a relaxed IrPtSeN2 crystal.

Properties
Relative energy among the computed polymorphs   0 kJ/mol of formula units

Geometry as CIF:
```
data_IrPtSeN2
_symmetry_space_group_name_H-M 'P 4/m m m'
_symmetry_Int_Tables_number 123
_symmetry_space_group_name_Hall '-P 4 2'
_cell_length_a 3.7144
_cell_length_b 3.7144
_cell_length_c 5.9632
_cell_angle_alpha 90.00
_cell_angle_beta 90.00
_cell_angle_gamma 90.00
loop_
_atom_site_label
_atom_site_type_symbol
_atom_site_fract_x
_atom_site_fract_y
_atom_site_fract_z
Ir1 Ir 0.0000 0.0000 0.0000
Pt1 Pt 0.5000 0.5000 0.5000
Se1 Se 0.0000 0.0000 0.5000
N1 N 0.0000 0.5000 0.0000
```

***

A plane-wave DFT calculation with PBE-GGA was carried out for a relaxed Sr2IrPtN crystal.

Geometry as CIF:
```
data_Sr2IrPtN
_symmetry_space_group_name_H-M 'P 4/m m m'
_symmetry_Int_Tables_number 123
_symmetry_space_group_name_Hall '-P 4 2'
_cell_length_a 5.4312
_cell_length_b 5.4312
_cell_length_c 3.7422
_cell_angle_alpha 90.00
_cell_angle_beta 90.00
_cell_angle_gamma 90.00
loop_
_atom_site_label
_atom_site_type_symbol
_atom_site_fract_x
_atom_site_fract_y
_atom_site_fract_z
Sr1 Sr 0.0000 0.5000 0.0000
Ir1 Ir 0.0000 0.0000 0.5000
Pt1 Pt 0.5000 0.5000 0.5000
N1 N 0.0000 0.0000 0.0000
```

***

A plane-wave DFT calculation with PBE-GGA was carried out for a relaxed Te2IrPtN crystal.

Properties
Relative energy among the computed polymorphs   0 kJ/mol of formula units

Geometry as CIF:
```
data_Te2IrPtN
_symmetry_space_group_name_H-M 'P 4/m m m'
_symmetry_Int_Tables_number 123
_symmetry_space_group_name_Hall '-P 4 2'
_cell_length_a 5.4143
_cell_length_b 5.4143
_cell_length_c 3.6032
_cell_angle_alpha 90.00
_cell_angle_beta 90.00
_cell_angle_gamma 90.00
loop_
_atom_site_label
_atom_site_type_symbol
_atom_site_fract_x
_atom_site_fract_y
_atom_site_fract_z
Te1 Te 0.0000 0.5000 0.0000
Ir1 Ir 0.0000 0.0000 0.0000
Pt1 Pt 0.5000 0.5000 0.5000
N1 N 0.0000 0.0000 0.5000
```

***

A plane-wave DFT calculation with PBE-GGA was carried out for a relaxed TeIrPtN2 crystal.

Properties
Relative energy among the computed polymorphs   0 kJ/mol of formula units

Geometry as CIF:
```
data_TeIrPtN2
_symmetry_space_group_name_H-M 'P 4/m m m'
_symmetry_Int_Tables_number 123
_symmetry_space_group_name_Hall '-P 4 2'
_cell_length_a 3.7717
_cell_length_b 3.7717
_cell_length_c 6.1758
_cell_angle_alpha 90.00
_cell_angle_beta 90.00
_cell_angle_gamma 90.00
loop_
_atom_site_label
_atom_site_type_symbol
_atom_site_fract_x
_atom_site_fract_y
_atom_site_fract_z
Te1 Te 0.0000 0.0000 0.0000
Ir1 Ir 0.0000 0.0000 0.5000
Pt1 Pt 0.5000 0.5000 0.0000
N1 N 0.0000 0.5000 0.5000
```

***

A plane-wave DFT calculation with PBE-GGA was carried out for a relaxed Te2IrPtN crystal.

Properties
Relative energy among the computed polymorphs   161 kJ/mol of formula units

Geometry as CIF:
```
data_Te2IrPtN
_symmetry_space_group_name_H-M 'P 4/m m m'
_symmetry_Int_Tables_number 123
_symmetry_space_group_name_Hall '-P 4 2'
_cell_length_a 5.0573
_cell_length_b 5.0573
_cell_length_c 3.7441
_cell_angle_alpha 90.00
_cell_angle_beta 90.00
_cell_angle_gamma 90.00
loop_
_atom_site_label
_atom_site_type_symbol
_atom_site_fract_x
_atom_site_fract_y
_atom_site_fract_z
Te1 Te 0.0000 0.5000 0.0000
Ir1 Ir 0.0000 0.0000 0.5000
Pt1 Pt 0.5000 0.5000 0.5000
N1 N 0.0000 0.0000 0.0000
```

***

A plane-wave DFT calculation with PBE-GGA was carried out for a relaxed TeIrPtN2 crystal.

Properties
Relative energy among the computed polymorphs   273 kJ/mol of formula units

Geometry as CIF:
```
data_TeIrPtN2
_symmetry_space_group_name_H-M 'P 4/m m m'
_symmetry_Int_Tables_number 123
_symmetry_space_group_name_Hall '-P 4 2'
_cell_length_a 3.7312
_cell_length_b 3.7312
_cell_length_c 8.2986
_cell_angle_alpha 90.00
_cell_angle_beta 90.00
_cell_angle_gamma 90.00
loop_
_atom_site_label
_atom_site_type_symbol
_atom_site_fract_x
_atom_site_fract_y
_atom_site_fract_z
Te1 Te 0.0000 0.0000 0.0000
Ir1 Ir 0.5000 0.5000 0.0000
Pt1 Pt 0.0000 0.0000 0.5000
N1 N 0.0000 0.5000 0.5000
```

***

A plane-wave DFT calculation with PBE-GGA was carried out for a relaxed Te2IrPtN crystal.

Properties
Relative energy among the computed polymorphs   206 kJ/mol of formula units

Geometry as CIF:
```
data_Te2IrPtN
_symmetry_space_group_name_H-M 'P 4/m m m'
_symmetry_Int_Tables_number 123
_symmetry_space_group_name_Hall '-P 4 2'
_cell_length_a 5.4126
_cell_length_b 5.4126
_cell_length_c 3.6071
_cell_angle_alpha 90.00
_cell_angle_beta 90.00
_cell_angle_gamma 90.00
loop_
_atom_site_label
_atom_site_type_symbol
_atom_site_fract_x
_atom_site_fract_y
_atom_site_fract_z
Te1 Te 0.0000 0.5000 0.0000
Ir1 Ir 0.0000 0.0000 0.5000
Pt1 Pt 0.5000 0.5000 0.0000
N1 N 0.5000 0.5000 0.5000
```

***

A plane-wave DFT calculation with PBE-GGA was carried out for a relaxed TiIrPtN2 crystal.

Geometry as CIF:
```
data_TiIrPtN2
_symmetry_space_group_name_H-M 'P 4/m m m'
_symmetry_Int_Tables_number 123
_symmetry_space_group_name_Hall '-P 4 2'
_cell_length_a 3.7231
_cell_length_b 3.7231
_cell_length_c 5.7548
_cell_angle_alpha 90.00
_cell_angle_beta 90.00
_cell_angle_gamma 90.00
loop_
_atom_site_label
_atom_site_type_symbol
_atom_site_fract_x
_atom_site_fract_y
_atom_site_fract_z
Ti1 Ti 0.0000 0.0000 0.0000
Ir1 Ir 0.0000 0.0000 0.5000
Pt1 Pt 0.5000 0.5000 0.0000
N1 N 0.0000 0.5000 0.5000
```

***

A plane-wave DFT calculation with PBE-GGA was carried out for a relaxed Pu8Ir5N crystal.

Geometry as CIF:
```
data_Pu8Ir5N
_symmetry_space_group_name_H-M 'I -4'
_symmetry_Int_Tables_number 82
_symmetry_space_group_name_Hall 'I -4'
_cell_length_a 8.1889
_cell_length_b 8.1889
_cell_length_c 8.7976
_cell_angle_alpha 90.00
_cell_angle_beta 90.00
_cell_angle_gamma 90.00
loop_
_atom_site_label
_atom_site_type_symbol
_atom_site_fract_x
_atom_site_fract_y
_atom_site_fract_z
Pu1 Pu 0.0573 0.3157 0.0850
Pu2 Pu 0.0690 0.2214 0.7189
Ir1 Ir 0.0000 0.0000 0.0000
Ir2 Ir 0.1006 0.2134 0.3997
N1 N 0.0000 0.5000 0.7500
```

***

A plane-wave DFT calculation with PBE-GGA was carried out for a relaxed Pu2IrN crystal.

Properties
Relative energy among the computed polymorphs   82 kJ/mol of formula units

Geometry as CIF:
```
data_Pu2IrN
_symmetry_space_group_name_H-M 'P 4/m m m'
_symmetry_Int_Tables_number 123
_symmetry_space_group_name_Hall '-P 4 2'
_cell_length_a 3.0971
_cell_length_b 3.0971
_cell_length_c 6.9779
_cell_angle_alpha 90.00
_cell_angle_beta 90.00
_cell_angle_gamma 90.00
loop_
_atom_site_label
_atom_site_type_symbol
_atom_site_fract_x
_atom_site_fract_y
_atom_site_fract_z
Pu1 Pu 0.0000 0.0000 0.2065
Ir1 Ir 0.5000 0.5000 0.5000
N1 N 0.5000 0.5000 0.0000
```

***

Number 1: V 23.11 Å³/atom, E_form (uncorrected) 7.2 eV/f.u.. Number 2: V 18.73 Å³/atom, E_form (uncorrected) 5.6 eV/f.u.. Number 3: V 18.56 Å³/atom, E_form (uncorrected) 3.4 eV/f.u.. Number 4: V 16.45 Å³/atom, E_form (uncorrected) 4.6 eV/f.u.. Number 5: V 22.08 Å³/atom, E_form (uncorrected) -3.1 eV/f.u.. Number 6: V 21.13 Å³/atom, E_form (uncorrected) 2.5 eV/f.u.. Number 7: V 17.57 Å³/atom, E_form (uncorrected) 4.1 eV/f.u.. Number 8: V 19.15 Å³/atom, E_form (uncorrected) 4.2 eV/f.u.. Number 9: V 23.11 Å³/atom, E_form (uncorrected) 6.9 eV/f.u.. Number 10: V 21.14 Å³/atom, E_form (uncorrected) 4.6 eV/f.u.. Number 11: V 15.95 Å³/atom, E_form (uncorrected) 3.8 eV/f.u.. Number 12: V 21.07 Å³/atom, E_form (uncorrected) -5.5 eV/f.u.. Number 13: V 16.73 Å³/atom, E_form (uncorrected) -1.9 eV/f.u..